[1]
CuRu2Se: relaxed, GGA-PBEsol.

Values from the calculation:
The calculation puts the uncorrected energy at -26.61 eV/cell.

```
data_CuRu2Se
_cell_length_a 4.2747
_cell_length_b 4.2747
_cell_length_c 4.2747
_cell_angle_alpha 60.00
_cell_angle_beta 60.00
_cell_angle_gamma 60.00
_space_group_name_H-M_alt 'P 1'
_space_group_IT_number 1
loop_
_space_group_symop_operation_xyz
'x,y,z'
loop_
_atom_site_label
_atom_site_type_symbol
_atom_site_fract_x
_atom_site_fract_y
_atom_site_fract_z
_atom_site_occupancy
Cu1 Cu 0.5000 0.5000 0.5000 1
Ru1 Ru 0.0000 0.0000 0.0000 1
Ru2 Ru 0.7500 0.7500 0.7500 1
Se1 Se 0.2500 0.2500 0.2500 1
```

---

[2]
CuRu2Se: relaxed, GGA-PBEsol.

Values from the calculation:
The calculation puts the uncorrected energy at -26.37 eV/cell.

```
data_CuRu2Se
_cell_length_a 2.8572
_cell_length_b 4.2981
_cell_length_c 4.5270
_cell_angle_alpha 90.00
_cell_angle_beta 90.00
_cell_angle_gamma 90.00
_space_group_name_H-M_alt 'P 1'
_space_group_IT_number 1
loop_
_space_group_symop_operation_xyz
'x,y,z'
loop_
_atom_site_label
_atom_site_type_symbol
_atom_site_fract_x
_atom_site_fract_y
_atom_site_fract_z
_atom_site_occupancy
Cu1 Cu 0.0000 0.5000 0.5000 1
Ru1 Ru 0.0000 0.0000 0.0000 1
Ru2 Ru 0.5000 0.0000 0.5000 1
Se1 Se 0.5000 0.5000 0.0000 1
```

---

[3]
CuSnRuSe2: relaxed, GGA-PBEsol.

Values from the calculation:
The calculation puts the uncorrected energy at -22.62 eV/cell.

```
data_CuSnRuSe2
_cell_length_a 4.6667
_cell_length_b 4.6667
_cell_length_c 4.7299
_cell_angle_alpha 90.00
_cell_angle_beta 90.00
_cell_angle_gamma 90.00
_space_group_name_H-M_alt 'P 1'
_space_group_IT_number 1
loop_
_space_group_symop_operation_xyz
'x,y,z'
loop_
_atom_site_label
_atom_site_type_symbol
_atom_site_fract_x
_atom_site_fract_y
_atom_site_fract_z
_atom_site_occupancy
Ru1 Ru 0.0000 0.0000 0.5000 1
Cu1 Cu 0.0000 0.0000 0.0000 1
Sn1 Sn 0.5000 0.5000 0.5000 1
Se1 Se 0.0000 0.5000 0.0000 1
Se2 Se 0.5000 0.0000 0.0000 1
```

---

[4]
Cu2SiRu: relaxed, GGA-PBEsol.

Values from the calculation:
The calculation puts the uncorrected energy at -24.70 eV/cell.

```
data_Cu2SiRu
_cell_length_a 2.6686
_cell_length_b 4.3066
_cell_length_c 4.2882
_cell_angle_alpha 90.00
_cell_angle_beta 90.00
_cell_angle_gamma 95.79
_space_group_name_H-M_alt 'P 1'
_space_group_IT_number 1
loop_
_space_group_symop_operation_xyz
'x,y,z'
loop_
_atom_site_label
_atom_site_type_symbol
_atom_site_fract_x
_atom_site_fract_y
_atom_site_fract_z
_atom_site_occupancy
Cu1 Cu 0.3101 0.2426 0.0000 1
Cu2 Cu 0.6899 0.7574 0.0000 1
Ru1 Ru 0.0000 0.5000 0.5000 1
Si1 Si 0.5000 0.0000 0.5000 1
```

---

[5]
Cu2SiRu: relaxed, GGA-PBEsol.

Values from the calculation:
The calculation puts the uncorrected energy at -25.21 eV/cell.

```
data_Cu2SiRu
_cell_length_a 4.0874
_cell_length_b 4.0666
_cell_length_c 4.0874
_cell_angle_alpha 59.83
_cell_angle_beta 90.00
_cell_angle_gamma 120.17
_space_group_name_H-M_alt 'P 1'
_space_group_IT_number 1
loop_
_space_group_symop_operation_xyz
'x,y,z'
loop_
_atom_site_label
_atom_site_type_symbol
_atom_site_fract_x
_atom_site_fract_y
_atom_site_fract_z
_atom_site_occupancy
Cu1 Cu 0.0000 0.0000 0.0000 1
Cu2 Cu 0.7500 0.5000 0.7500 1
Ru1 Ru 0.5000 0.0000 0.5000 1
Si1 Si 0.2500 0.5000 0.2500 1
```

---

[6]
CuSiRu: relaxed, GGA-PBEsol.

Values from the calculation:
The calculation puts the uncorrected energy at -20.89 eV/cell.

```
data_CuSiRu
_cell_length_a 2.9345
_cell_length_b 2.9345
_cell_length_c 4.7547
_cell_angle_alpha 107.97
_cell_angle_beta 107.97
_cell_angle_gamma 90.00
_space_group_name_H-M_alt 'P 1'
_space_group_IT_number 1
loop_
_space_group_symop_operation_xyz
'x,y,z'
loop_
_atom_site_label
_atom_site_type_symbol
_atom_site_fract_x
_atom_site_fract_y
_atom_site_fract_z
_atom_site_occupancy
Cu1 Cu 0.9891 0.9891 0.9782 1
Ru1 Ru 0.6832 0.6832 0.3665 1
Si1 Si 0.3277 0.3277 0.6553 1
```